{"formula": "TbInGaHg", "functional": "GGA-PBE", "state": "relaxed", "lattice_angstrom": [[-3.310, -2.065, -2.167], [0.460, -3.516, 2.649], [-3.077, 1.826, 2.959]], "species": ["Hg", "In", "Ga", "Tb"], "fractional_positions": [[0.500, 0.000, 0.500], [0.000, 0.500, 0.500], [0.000, 0.000, 0.000], [0.500, 0.500, 0.000]], "dos_ef_per_ev_cell": 1.9, "final_energy_ev_per_atom": -3.083, "delta_e_f_ev_per_atom": -0.41}

{"formula": "TbInGaHg", "functional": "GGA-PBE", "state": "relaxed", "lattice_angstrom": [[-1.200, -4.768, -1.408], [3.627, -3.601, -0.186], [0.038, -3.772, 3.453]], "species": ["Tb", "Ga", "Hg", "In"], "fractional_positions": [[0.000, 0.000, 0.000], [0.250, 0.250, 0.250], [0.750, 0.750, 0.750], [0.500, 0.500, 0.500]], "dos_ef_per_ev_cell": 3.7, "final_energy_ev_per_atom": -2.947, "delta_e_f_ev_per_atom": -0.27}